First-principles (PBE) data for an optimized crystal structure of PmZn2Ni2, as listed in Alexandria.

Calculated values
ΔH_f (0 K) in kJ per mole of atoms: -23.7
Offset from the most stable computed form in meV per atom: 64
Electronic total energy in eV/atom: -4.018
Total moment in μB per atom: 0.00
Fermi-level density of states in states/eV/atom: 0.5131

a = 5.185 Å, b = 5.185 Å, c = 8.092 Å
α = 98.59°, β = 98.59°, γ = 122.12°
Fractional positions:
Zn 0.746 0.995 0.492
Zn 0.254 0.005 0.508
Zn 0.505 0.754 0.008
Zn 0.495 0.246 0.992
Ni 0.447 0.053 0.250
Ni 0.553 0.947 0.750
Ni 0.196 0.304 0.750
Ni 0.804 0.696 0.250
Pm 0.875 0.625 0.750
Pm 0.125 0.375 0.250